1.
MnIrW2: optimized geometry, GGA-PBEsol.

Cell: 4.3319 4.3319 4.3319 Å, 60.00 60.00 60.00°
Last column: nearest neighbours and their distance in Å.
Fractional positions:
Mn: 0.0000 0.0000 0.0000  8 W 2.65
Ir: 0.5000 0.5000 0.5000  8 W 2.65
W: 0.2500 0.2500 0.2500  4 Ir 2.65, 4 Mn 2.65
W: 0.7500 0.7500 0.7500  4 Ir 2.65, 4 Mn 2.65

Calculated values
space group: Fm-3m
crystal system: cubic

=====

2.
YBe3Nb: optimized geometry, GGA-PBEsol.

Cell: 4.3771 4.3771 4.3771 Å, 90.00 90.00 90.00°
Last column: nearest neighbours and their distance in Å.
Fractional positions:
Y: 0.0000 0.0000 0.0000  6 Be 2.19
Be: 0.0000 0.0000 0.5000  2 Y 2.19
Be: 0.0000 0.5000 0.0000  2 Y 2.19
Be: 0.5000 0.0000 0.0000  2 Y 2.19
Nb: 0.5000 0.5000 0.5000  12 Be 3.10

Calculated values
space group: Pm-3m
crystal system: cubic

=====

Number 1: M_tot 2.09 Bohr magnetons per cell, V 14.37 Å³/atom, energy relative to the elements 0.291 eV/atom. Number 2: M_tot 1.43 Bohr magnetons per cell, V 16.77 Å³/atom, energy relative to the elements 1.955 eV/atom.